DFT (PBE) results for a relaxed structure of AlCdCoPd.

Structure (extended XYZ):
```
4
Lattice="0.000 3.095 3.095 3.095 0.000 3.095 3.095 3.095 0.000" Properties=species:S:1:pos:R:3 pbc="T T T"
Al 0.000 0.000 0.000
Cd 3.095 3.095 3.095
Co 1.547 1.547 1.547
Pd 4.642 4.642 4.642
```

Space-group type: F-43m (216)
Relative energy among the computed polymorphs in eV/atom: 0.000



DFT (PBE) results for a relaxed structure of NbGaCuIr.

Structure (extended XYZ):
```
4
Lattice="0.000 3.104 3.104 3.104 0.000 3.104 3.104 3.104 0.000" Properties=species:S:1:pos:R:3 pbc="T T T"
Nb 0.000 0.000 0.000
Ga 3.104 3.104 3.104
Cu 4.656 4.656 4.656
Ir 1.552 1.552 1.552
```

Space-group type: F-43m (216)
Relative energy among the computed polymorphs in eV/atom: 0.000



DFT (PBE) results for a relaxed structure of RePdO4.

Structure (extended XYZ):
```
12
Lattice="-3.299 3.299 3.144 3.299 -3.299 3.144 3.299 3.299 -3.144" Properties=species:S:1:pos:R:3 pbc="T T T"
Re 0.000 0.000 0.000
Re 0.000 3.299 1.572
Pd 3.299 0.000 1.529
Pd 0.000 0.000 3.101
O 3.299 1.242 -0.116
O 2.057 3.299 -1.689
O 1.242 0.000 1.456
O 0.000 1.950 0.113
O 0.000 4.648 0.113
O 1.950 3.299 1.685
O 1.349 0.000 4.830
O 0.000 2.057 3.028
```

Space-group type: I4_1md (109)
Energy in eV per atom: -7.20



DFT (PBE) results for a relaxed structure of Sm2HoTe3.

Structure (extended XYZ):
```
6
Lattice="4.414 0.000 0.000 -2.207 3.823 0.000 0.000 0.000 10.755" Properties=species:S:1:pos:R:3 pbc="T T T"
Sm 0.000 2.548 1.801
Sm 2.207 1.274 8.954
Ho 0.000 0.000 5.377
Te 0.000 0.000 0.000
Te 0.000 2.548 7.088
Te 2.207 1.274 3.667
```

Space-group type: P-3m1 (164)
Energy in eV per atom: -5.25



DFT (PBE) results for a relaxed structure of Ta6Co16Si7.

Structure (extended XYZ):
```
29
Lattice="0.000 5.571 5.571 5.571 0.000 5.571 5.571 5.571 0.000" Properties=species:S:1:pos:R:3 pbc="T T T"
Ta 5.571 5.571 2.253
Ta 5.571 2.253 5.571
Ta 8.889 5.571 5.571
Ta 2.253 5.571 5.571
Ta 5.571 8.889 5.571
Ta 5.571 5.571 8.889
Co 6.893 4.250 4.250
Co 1.850 1.850 1.850
Co 3.721 3.721 1.850
Co 3.721 1.850 3.721
Co 4.250 4.250 4.250
Co 6.893 6.893 4.250
Co 6.893 4.250 6.893
Co 9.292 7.422 7.422
Co 1.850 3.721 3.721
Co 4.250 6.893 4.250
Co 4.250 4.250 6.893
Co 6.893 6.893 6.893
Co 7.422 9.292 7.422
Co 7.422 7.422 9.292
Co 9.292 9.292 9.292
Co 4.250 6.893 6.893
Si 2.786 2.786 0.000
Si 2.786 0.000 2.786
Si 5.571 2.786 2.786
Si 0.000 2.786 2.786
Si 2.786 5.571 2.786
Si 2.786 2.786 5.571
Si 5.571 5.571 5.571
```

Space-group type: Fm-3m (225)
Energy in eV per atom: -8.26



DFT (PBE) results for a relaxed structure of Hf2Nb4Al3C3.

Structure (extended XYZ):
```
24
Lattice="4.749 -2.742 0.000 4.749 2.742 0.000 -3.186 0.000 14.088" Properties=species:S:1:pos:R:3 pbc="T T T"
Hf 2.375 2.290 8.396
Hf 2.344 2.290 12.737
Hf 3.968 -2.290 1.351
Hf 3.937 -2.290 5.693
Nb 2.363 0.451 1.210
Nb 2.365 0.470 5.835
Nb 0.770 -0.451 8.254
Nb 0.772 -0.470 12.879
Nb 5.539 0.470 1.209
Nb 5.541 0.451 5.835
Nb 3.946 -0.470 8.253
Nb 3.948 -0.451 12.879
Al -0.622 0.565 10.578
Al 0.971 -0.565 3.534
Al 2.359 0.244 10.566
Al 3.952 -0.244 3.522
Al 5.340 0.565 10.555
Al 6.933 -0.565 3.510
C 0.781 1.371 7.044
C 3.958 1.374 0.000
C 3.946 1.374 7.044
C 2.374 -1.371 0.000
C 2.365 -1.374 7.044
C 5.539 -1.374 0.000
```

Space-group type: C2/c (15)
Energy in eV per atom: -8.86



DFT (PBE) results for a relaxed structure of Na2Nb2SeS3.

Structure (extended XYZ):
```
8
Lattice="3.453 0.000 0.000 -1.727 2.991 0.000 0.000 0.000 14.431" Properties=species:S:1:pos:R:3 pbc="T T T"
Na 0.000 0.000 0.000
Na 0.000 0.000 7.084
Nb 0.000 0.000 3.503
Nb 0.000 0.000 10.616
Se 1.727 0.997 12.312
S 0.000 1.994 1.949
S 0.000 1.994 5.056
S 1.727 0.997 9.074
```

Space-group type: P3m1 (156)
Energy in eV per atom: -5.99